Here is a relaxed Tl2MoO crystal from Alexandria. Energies are from PBE with a Hubbard U.

The spin magnetization comes out at 21.6 μB/cell. The value obtained for the excess energy over the best structure of this formula in the dataset is 30.0 kJ per mole of atoms.

Geometry as CIF:
```
data_Tl2MoO
_chemical_formula_sum 'Tl8 Mo4 O4'
_space_group_name_H-M_alt 'F m -3 m'
_space_group_IT_number 225
_space_group_name_Hall '-F 4 2 3'
_cell_length_a 7.118
_cell_length_b 7.118
_cell_length_c 7.118
_cell_angle_alpha 90.00
_cell_angle_beta 90.00
_cell_angle_gamma 90.00
loop_
_atom_site_label
_atom_site_type_symbol
_atom_site_fract_x
_atom_site_fract_y
_atom_site_fract_z
_atom_site_occupancy
Tl1 Tl 0.250 0.250 0.250 1
Mo1 Mo 0.000 0.000 0.000 1
O1 O 0.000 0.000 0.500 1
```